The following is a PBE calculation of K2ScOs after structural relaxation, from Alexandria.

Output
volume: 100 Å³ per cell
total DFT energy (no corrections): -3.91 eV per atom
formation enthalpy at 0 K: 1.028 eV/atom
total magnetic moment: 0.6 μB/f.u.
theoretical density: 5.2 g/cm³

abc: 6.6698 6.6698 6.6698
angles: 144.33 144.33 51.34
Positions (direct):
K1 0.2500 0.7500 0.5000
K2 0.7500 0.2500 0.5000
Sc1 0.0000 0.0000 0.0000
Os1 0.5000 0.5000 0.0000